No. 1
Here is crystalline CaPmHg14 at its relaxed geometry from Alexandria via LeMat-Bulk. Energies are from GGA-PBE.

```
CaPmHg14
1.0
-2.416 3.184 -5.437
-5.843 1.049 3.208
3.137 7.788 3.167
Hg Pm Ca
14 1 1
Cartesian
-4.395 4.564 -0.615 Hg
-7.227 3.704 -1.950 Hg
-2.737 7.073 -1.971 Hg
-6.019 2.112 0.768 Hg
-2.802 8.520 0.993 Hg
-0.256 2.442 0.502 Hg
1.338 6.399 2.110 Hg
-3.185 2.967 2.110 Hg
0.127 7.995 -0.615 Hg
-4.305 3.179 -3.554 Hg
-4.450 6.006 2.352 Hg
-1.467 4.037 -2.224 Hg
-3.097 1.587 -0.836 Hg
-1.591 6.925 3.719 Hg
-1.529 5.481 0.747 Pm
-5.658 7.598 -0.367 Ca
```

Calculated values
For the calculated formation energy, the calculation gives -0.18 eV/atom. As for the total energy: -0.064 Ry/atom. As for the total moment: 0.00 μB/cell.

***

No. 2
Here is crystalline PuMgAlGa2 at its relaxed geometry from Alexandria via LeMat-Bulk. Energies are from GGA-PBE.

```
PuMgAlGa2
1.0
-1.946 3.595 1.110
0.350 -1.071 4.084
5.828 1.380 -2.335
Al Mg Ga Pu
1 1 2 1
Cartesian
1.542 3.119 0.686 Al
2.690 0.786 2.173 Mg
3.946 2.073 0.205 Ga
0.286 1.832 2.653 Ga
0.000 0.000 0.000 Pu
```

Calculated values
For the calculated formation energy, the calculation gives -0.26 eV/atom. As for the total energy: -0.398 Ry/atom. As for the total moment: 5.83 μB/cell.

***

No. 3
Here is crystalline Dy2FeCo3 at its relaxed geometry from Alexandria via LeMat-Bulk. Energies are from GGA-PBE.

```
Dy2FeCo3
1.0
-4.043 -0.938 0.691
0.590 -4.355 -2.461
2.959 0.435 5.094
Co Dy Fe
3 2 1
Cartesian
-1.440 -3.161 0.093 Co
0.946 -1.697 3.230 Co
0.000 0.000 0.000 Co
-1.564 -1.291 1.910 Dy
1.069 -3.567 1.414 Dy
0.295 -2.177 -1.231 Fe
```

Calculated values
For the calculated formation energy, the calculation gives 0.24 eV/atom. As for the total energy: -0.460 Ry/atom. As for the total moment: 4.99 μB/cell. The calculation puts the offset from the most stable computed form at 431 meV per atom.

***

No. 4
Here is crystalline La2Mg3Pt4 at its relaxed geometry from Alexandria via LeMat-Bulk. Energies are from GGA-PBE.

```
La2Mg3Pt4
1.0
-1.054 3.664 4.436
-5.366 -4.734 2.636
6.264 -5.767 2.395
Mg Pt La
6 8 4
Cartesian
1.012 -2.062 3.872 Mg
0.485 -0.230 6.090 Mg
-3.210 -0.535 3.536 Mg
0.000 0.000 0.000 Mg
-1.167 -4.775 5.595 Mg
-0.640 -6.607 3.377 Mg
3.065 -0.924 5.347 Pt
-0.851 -0.785 2.374 Pt
-1.437 -2.043 5.202 Pt
0.696 -6.052 7.092 Pt
-3.220 -5.913 4.119 Pt
1.223 -7.884 4.874 Pt
1.282 -4.794 4.264 Pt
-1.378 1.047 4.592 Pt
-4.218 -3.328 5.603 La
1.775 -3.231 6.947 La
4.063 -3.509 3.864 La
-1.931 -3.606 2.520 La
```

Calculated values
For the calculated formation energy, the calculation gives -0.92 eV/atom. As for the total energy: -0.384 Ry/atom. As for the total moment: 0.00 μB/cell.

***

No. 5
Here is crystalline LiTmAl at its relaxed geometry from Alexandria via LeMat-Bulk. Energies are from GGA-PBE.

```
LiTmAl
1.0
3.201 0.000 0.000
0.000 4.789 0.000
0.000 -2.394 4.147
Tm Li Al
1 1 1
Cartesian
2.134 2.394 1.382 Tm
0.536 0.000 0.000 Li
0.532 0.000 2.765 Al
```

Calculated values
For the calculated formation energy, the calculation gives -0.20 eV/atom. As for the total energy: -0.263 Ry/atom. As for the total moment: 0.00 μB/cell. The calculation puts the offset from the most stable computed form at 0 meV per atom.

***

No. 6
Here is crystalline Ni2HPt at its relaxed geometry from Alexandria via LeMat-Bulk. Energies are from GGA-PBE.

```
Ni2HPt
1.0
-0.739 1.835 -1.820
-0.453 -0.738 -2.545
-6.543 -0.714 -0.048
Pt H Ni
1 1 2
Cartesian
-3.867 0.192 -2.207 Pt
0.000 0.000 0.000 H
-1.384 0.192 -1.229 Ni
-6.350 0.191 -3.184 Ni
```

Calculated values
As for the total energy: -0.389 Ry/atom. As for the total moment: 0.73 μB/cell. The calculation puts the offset from the most stable computed form at 0 meV per atom.

***

No. 7
Here is crystalline Na4Ho3NpTe8 at its relaxed geometry from Alexandria via LeMat-Bulk. Energies are from GGA-PBE.

```
Na4Ho3NpTe8
1.0
8.878 0.000 0.000
0.000 9.119 0.161
-4.439 -4.435 6.281
Na Ho Te Np
4 3 8 1
Cartesian
-2.220 -2.217 3.141 Na
2.220 -2.217 3.141 Na
0.000 0.000 0.000 Na
4.439 0.000 0.000 Na
-2.220 2.342 3.221 Ho
2.220 2.342 3.221 Ho
4.439 4.560 0.081 Ho
4.439 4.505 3.180 Te
2.185 2.307 6.310 Te
0.000 0.180 3.262 Te
0.000 4.490 3.219 Te
-2.185 2.307 6.310 Te
6.624 2.378 0.132 Te
2.254 2.378 0.132 Te
4.439 0.195 3.223 Te
0.000 4.560 0.081 Np
```

Calculated values
As for the raw formation energy: -1.18 eV/atom. As for the total energy: -0.349 Ry/atom. As for the total moment: 4.00 μB/cell.

***

No. 8
Here is crystalline MgPaSnPb at its relaxed geometry from Alexandria via LeMat-Bulk. Energies are from GGA-PBE.

```
MgPaSnPb
1.0
-2.239 2.127 4.277
-1.417 -3.079 4.042
2.671 0.217 4.544
Pa Pb Mg Sn
1 1 1 1
Cartesian
-0.246 -0.184 3.216 Pa
0.000 0.000 0.000 Pb
-0.738 -0.551 9.647 Mg
-0.492 -0.367 6.431 Sn
```

Calculated values
For the calculated formation energy, the calculation gives 0.06 eV/atom. As for the total energy: -0.341 Ry/atom. As for the total moment: 0.00 μB/cell.

***

Which formula does entry 8 have? MgPaSnPb

***

Which formula does entry 1 have? CaPmHg14